Entry from the Alexandria database: Pm6Sm3Tl after structural relaxation (PBE).

Lattice parameters (Å, degrees): 11.108 11.108 6.277 90.00 90.00 119.91
Sites, in units of the cell vectors:
Pm 0.052 0.476 0.085
Pm 0.059 0.941 0.500
Pm 0.275 0.725 0.761
Pm 0.289 0.386 0.898
Pm 0.386 0.289 0.398
Pm 0.476 0.052 0.585
Pm 0.524 0.948 0.085
Pm 0.614 0.711 0.898
Pm 0.711 0.614 0.398
Pm 0.725 0.275 0.261
Pm 0.941 0.059 0.000
Pm 0.948 0.524 0.585
Sm 0.056 0.269 0.482
Sm 0.269 0.056 0.982
Sm 0.392 0.608 0.374
Sm 0.608 0.392 0.874
Sm 0.731 0.944 0.482
Sm 0.944 0.731 0.982
Tl 0.215 0.785 0.283
Tl 0.785 0.215 0.783

- energy above the lowest structure with this stoichiometry (meV/atom) = 12
- calculated formation energy (meV/atom) = 21
- calculated density (g/cm3) = 7.5
- symmetry = Cmc2_1
- crystal system = orthorhombic


Entry from the Alexandria database: Pm4Sm3Tl after structural relaxation (PBE).

Lattice parameters (Å, degrees): 11.433 7.230 6.287 90.00 90.00 90.00
Sites, in units of the cell vectors:
Pm 0.000 0.127 0.000
Pm 0.000 0.869 0.546
Pm 0.231 0.868 0.183
Pm 0.269 0.132 0.683
Pm 0.500 0.131 0.046
Pm 0.500 0.873 0.500
Pm 0.731 0.132 0.683
Pm 0.769 0.868 0.183
Sm 0.000 0.372 0.530
Sm 0.243 0.384 0.198
Sm 0.257 0.616 0.698
Sm 0.500 0.628 0.030
Sm 0.743 0.616 0.698
Sm 0.757 0.384 0.198
Tl 0.000 0.615 0.020
Tl 0.500 0.385 0.520

- energy above the lowest structure with this stoichiometry (meV/atom) = 0
- calculated formation energy (meV/atom) = -67
- calculated density (g/cm3) = 7.9
- symmetry = Pmn2_1
- crystal system = orthorhombic


Entry from the Alexandria database: PmSm5Tl3 after structural relaxation (PBE).

Lattice parameters (Å, degrees): 9.569 9.569 6.868 90.00 90.00 120.00
Sites, in units of the cell vectors:
Pm 0.000 0.000 0.000
Pm 0.000 0.000 0.500
Sm 0.000 0.333 0.250
Sm 0.000 0.667 0.750
Sm 0.333 0.000 0.250
Sm 0.333 0.333 0.750
Sm 0.333 0.667 0.000
Sm 0.333 0.667 0.500
Sm 0.667 0.000 0.750
Sm 0.667 0.333 0.000
Sm 0.667 0.333 0.500
Sm 0.667 0.667 0.250
Tl 0.000 0.334 0.750
Tl 0.000 0.666 0.250
Tl 0.334 0.000 0.750
Tl 0.334 0.334 0.250
Tl 0.666 0.000 0.250
Tl 0.666 0.666 0.750

- calculated formation energy (meV/atom) = -266
- calculated density (g/cm3) = 9.2
- symmetry = P6_3/mcm
- crystal system = hexagonal


Entry from the Alexandria database: Pm3Sm2Tl4 after structural relaxation (PBE).

Lattice parameters (Å, degrees): 8.830 8.830 9.671 90.00 90.00 130.58
Sites, in units of the cell vectors:
Pm 0.000 0.000 0.000
Pm 0.033 0.467 0.250
Pm 0.467 0.033 0.750
Pm 0.500 0.500 0.500
Pm 0.533 0.967 0.250
Pm 0.967 0.533 0.750
Sm 0.107 0.893 0.437
Sm 0.393 0.607 0.937
Sm 0.607 0.393 0.063
Sm 0.893 0.107 0.563
Tl 0.193 0.807 0.029
Tl 0.232 0.268 0.250
Tl 0.268 0.232 0.750
Tl 0.307 0.693 0.529
Tl 0.693 0.307 0.471
Tl 0.732 0.768 0.250
Tl 0.768 0.732 0.750
Tl 0.807 0.193 0.971

- energy above the lowest structure with this stoichiometry (meV/atom) = 98
- calculated formation energy (meV/atom) = -220
- calculated density (g/cm3) = 9.0
- symmetry = Cmce
- crystal system = orthorhombic


Please write out number 2 again, unchanged.
Entry from the Alexandria database: Pm4Sm3Tl after structural relaxation (PBE).

Lattice parameters (Å, degrees): 11.433 7.230 6.287 90.00 90.00 90.00
Sites, in units of the cell vectors:
Pm 0.000 0.127 0.000
Pm 0.000 0.869 0.546
Pm 0.231 0.868 0.183
Pm 0.269 0.132 0.683
Pm 0.500 0.131 0.046
Pm 0.500 0.873 0.500
Pm 0.731 0.132 0.683
Pm 0.769 0.868 0.183
Sm 0.000 0.372 0.530
Sm 0.243 0.384 0.198
Sm 0.257 0.616 0.698
Sm 0.500 0.628 0.030
Sm 0.743 0.616 0.698
Sm 0.757 0.384 0.198
Tl 0.000 0.615 0.020
Tl 0.500 0.385 0.520

- energy above the lowest structure with this stoichiometry (meV/atom) = 0
- calculated formation energy (meV/atom) = -67
- calculated density (g/cm3) = 7.9
- symmetry = Pmn2_1
- crystal system = orthorhombic


What is the formula in the first record? Pm6Sm3Tl


Among the records above, which one has the highest calculated density? PmSm5Tl3


What is the formula in the first record? Pm6Sm3Tl